First-principles (PBEsol) data for a relaxed structure of FeNiO2, as listed in Alexandria via LeMat-Bulk.

abc: 5.9494 5.9494 5.9494
angles: 26.44 26.44 26.44
Last column: nearest neighbours and their distance in Å.
Fractional positions:
1 Fe 0.0000 0.0000 0.0000  6 O 1.90
2 Ni 0.5000 0.5000 0.5000  2 O 1.81
3 O 0.3951 0.3951 0.3951  1 Ni 1.81, 3 Fe 1.90
4 O 0.6049 0.6049 0.6049  1 Ni 1.81, 3 Fe 1.90

E above lowest polymorph = 0.00 eV/f.u.
magnetic moment = 0.93 μB per cell
formation energy without anion corrections = -3.78 eV per formula unit
D(E_F) = 3.50 states/eV/cell

First-principles (PBEsol) data for a relaxed structure of LiBiNF2, as listed in Alexandria via LeMat-Bulk.

abc: 3.5754 3.5754 4.2834
angles: 90.00 90.00 90.00
Last column: nearest neighbours and their distance in Å.
Fractional positions:
1 Li 0.0000 0.0000 0.0000  4 F 1.79
2 Bi 0.5000 0.5000 0.5000  4 N 2.53, 8 F 2.79
3 N 0.0000 0.0000 0.5000  2 Li 2.14
4 F 0.0000 0.5000 0.0000  2 Li 1.79
5 F 0.5000 0.0000 0.0000  2 Li 1.79

magnetic moment = 0.94 μB per cell
formation energy without anion corrections = -5.69 eV per formula unit
D(E_F) = 1.73 states/eV/cell

First-principles (PBEsol) data for a relaxed structure of TlCrCo2, as listed in Alexandria via LeMat-Bulk.

abc: 2.7702 3.3961 5.7003
angles: 90.00 90.00 90.00
Last column: nearest neighbours and their distance in Å.
Fractional positions:
1 Tl 0.0000 0.0000 0.0000  6 Co 2.72-2.87, 2 Tl 2.77, 4 Cr 2.88
2 Cr 0.5000 0.5000 0.6735  5 Co 2.22-2.40
3 Co 0.0000 0.0000 0.5027  4 Cr 2.40, 4 Co 2.52
4 Co 0.5000 0.5000 0.2832  1 Cr 2.22

E above lowest polymorph = 0.00 eV/f.u.
magnetic moment = 2.53 μB per cell
ΔE_f = 0.52 eV per atom
D(E_F) = 5.04 states/eV/cell

First-principles (PBEsol) data for a relaxed structure of BeReAs2, as listed in Alexandria via LeMat-Bulk.

abc: 3.1706 4.2583 4.8090
angles: 90.00 108.89 90.00
Last column: nearest neighbours and their distance in Å.
Fractional positions:
1 Be 0.0000 0.0000 0.0000  2 Re 2.41, 4 As 2.49
2 Re 0.5000 0.0000 0.5000  2 Be 2.41, 4 As 2.50
3 As 0.3743 0.5000 0.2121  3 As 2.42-2.62, 2 Be 2.49, 2 Re 2.50
4 As 0.6257 0.5000 0.7879  3 As 2.42-2.62, 2 Be 2.49, 2 Re 2.50

magnetic moment = 0.00 μB per cell
ΔE_f = 0.47 eV per atom
D(E_F) = 2.12 states/eV/cell